Compound: TbInCoPd
Source: Alexandria
Functional: PBE
Structure: relaxed

Structure (extended XYZ):
```
4
Lattice="-2.399 3.941 -0.933 -3.327 1.491 2.978 0.720 3.863 2.592" Properties=species:S:1:pos:R:3 pbc="T T T"
Pd 0.000 0.000 0.000
Tb -1.251 2.324 1.159
In -3.754 6.971 3.477
Co -2.503 4.647 2.318
```

## Properties
**Crystal system**: cubic
**ΔE_f**: -409.2 meV per atom